# PuZr2In

An optimized crystal structure of PuZr2In (PBE, Alexandria).

For the volume, the calculation gives 92.2 Å³ per cell. The calculation puts the formation energy at -0.130 eV/atom. The distance to the lowest polymorph of the same formula comes out at 0.0 meV/atom. The calculation puts the energy at -8.6720 eV/atom. The value obtained for the magnetic moment is 5.694 Bohr magnetons per cell. For the density, the calculation gives 9.745 g/cm3.

```
PuZr2In
1.0
4.209 0.000 0.000
0.000 4.681 0.000
0.000 0.000 4.681
Pu Zr In
1 2 1
Direct
0.500 0.000 0.000 Pu
0.000 0.500 0.000 Zr
0.000 0.000 0.500 Zr
0.500 0.500 0.500 In
```

***

# PuZrIn

An optimized crystal structure of PuZrIn (PBE, Alexandria).

For the volume, the calculation gives 72.2 Å³ per cell. The calculation puts the formation energy at -0.077 eV/atom. The distance to the lowest polymorph of the same formula comes out at 0.0 meV/atom. The calculation puts the energy at -8.6164 eV/atom. The value obtained for the magnetic moment is 5.230 Bohr magnetons per cell. For the density, the calculation gives 10.351 g/cm3.

```
PuZrIn
1.0
3.144 0.000 0.000
0.000 3.144 0.000
-1.572 -1.572 7.306
In Zr Pu
1 1 1
Direct
0.005 0.005 0.011 In
0.661 0.661 0.322 Zr
0.333 0.333 0.667 Pu
```

***

# PuZr3In

An optimized crystal structure of PuZr3In (PBE, Alexandria).

For the volume, the calculation gives 233.6 Å³ per cell. The calculation puts the formation energy at -0.015 eV/atom. The calculation puts the energy at -8.5581 eV/atom. The value obtained for the magnetic moment is 10.512 Bohr magnetons per cell. For the density, the calculation gives 8.991 g/cm3.

```
PuZr3In
1.0
6.437 0.000 0.000
0.000 10.263 0.494
-3.219 -3.530 3.367
Zr In Pu
6 2 2
Direct
0.400 0.713 0.305 Zr
0.600 0.287 0.695 Zr
0.750 0.492 0.501 Zr
0.904 0.713 0.305 Zr
0.096 0.287 0.695 Zr
0.250 0.508 0.499 Zr
0.556 0.905 0.113 In
0.444 0.095 0.887 In
0.017 0.874 0.033 Pu
0.983 0.126 0.967 Pu
```

***

# PuZrIn

An optimized crystal structure of PuZrIn (PBE, Alexandria).

For the volume, the calculation gives 268.5 Å³ per cell. The calculation puts the formation energy at 0.066 eV/atom. The distance to the lowest polymorph of the same formula comes out at 142.5 meV/atom. The calculation puts the energy at -8.4739 eV/atom. The value obtained for the magnetic moment is 0.000 Bohr magnetons per cell. For the density, the calculation gives 11.133 g/cm3.

```
PuZrIn
1.0
5.686 0.000 0.000
0.000 10.637 -0.768
0.000 -0.640 4.486
Pu Zr In
4 4 4
Direct
0.805 0.000 0.424 Pu
0.195 0.000 0.576 Pu
0.305 0.000 0.076 Pu
0.695 0.000 0.924 Pu
0.000 0.223 0.112 Zr
0.500 0.223 0.612 Zr
0.500 0.777 0.388 Zr
0.000 0.777 0.888 Zr
0.500 0.591 0.795 In
0.000 0.409 0.705 In
0.000 0.591 0.295 In
0.500 0.409 0.205 In
```

***

Q: What is the energy in the second record?
A: -8.6164 eV/atom